1.
Computed, not measured: a relaxed Zr2Ta4Fe3C3 crystal at the PBE-GGA level of DFT.

```
data_Zr2Ta4Fe3C3
_chemical_formula_sum 'Zr8 Ta16 Fe12 C12'
_space_group_name_H-M_alt 'C 1 2/c 1'
_space_group_IT_number 15
_cell_length_a 9.358
_cell_length_b 5.397
_cell_length_c 13.762
_cell_angle_alpha 90.00
_cell_angle_beta 103.41
_cell_angle_gamma 90.00
loop_
_space_group_symop_operation_xyz
'x,y,z'
'-x,-y,-z'
'-x,y,-z+1/2'
'x,-y,z+1/2'
'x+1/2,y+1/2,z'
'-x+1/2,-y+1/2,-z'
'-x+1/2,y+1/2,-z+1/2'
'x+1/2,-y+1/2,z+1/2'
loop_
_atom_site_label
_atom_site_fract_x
_atom_site_fract_y
_atom_site_fract_z
_atom_site_occupancy
Zr1 0.042 0.083 0.383 1
Ta1 0.113 0.411 0.589 1
Ta2 0.223 0.418 0.911 1
Fe1 0.000 0.425 0.750 1
Fe2 0.245 0.160 0.750 1
C1 0.083 0.249 0.000 1
C2 0.250 0.250 0.500 1
```

=====

2.
Computed, not measured: a relaxed LaHfGa2Au2 crystal at the PBE-GGA level of DFT.

```
data_LaHfGa2Au2
_chemical_formula_sum 'La1 Hf1 Ga2 Au2'
_space_group_name_H-M_alt 'P -6 m 2'
_space_group_IT_number 187
_space_group_name_Hall 'P -6 2'
_cell_length_a 4.5010
_cell_length_b 4.5010
_cell_length_c 7.2235
_cell_angle_alpha 90.00
_cell_angle_beta 90.00
_cell_angle_gamma 120.00
loop_
_atom_site_label
_atom_site_fract_x
_atom_site_fract_y
_atom_site_fract_z
_atom_site_occupancy
La1 0.0000 0.0000 0.0000 1
Hf1 0.0000 0.0000 0.5000 1
Ga1 0.3333 0.6667 0.3057 1
Au1 0.6667 0.3333 0.2851 1
```

=====

3.
Computed, not measured: a relaxed Pm3MgNi8 crystal at the PBE-GGA level of DFT.

```
data_Pm3MgNi8
_chemical_formula_sum 'Pm9 Mg3 Ni24'
_space_group_name_H-M_alt 'R 3 m'
_space_group_IT_number 160
_space_group_name_Hall 'R 3 -2"'
_cell_length_a 5.0595
_cell_length_b 5.0595
_cell_length_c 24.9703
_cell_angle_alpha 90.00
_cell_angle_beta 90.00
_cell_angle_gamma 120.00
loop_
_atom_site_label
_atom_site_fract_x
_atom_site_fract_y
_atom_site_fract_z
_atom_site_occupancy
Pm1 0.0000 0.0000 0.0000 1
Pm2 0.0000 0.0000 0.1275 1
Pm3 0.0000 0.0000 0.6173 1
Mg1 0.0000 0.0000 0.4955 1
Ni1 0.0000 0.0000 0.3106 1
Ni2 0.0000 0.0000 0.8113 1
Ni3 0.0020 0.5010 0.5593 1
Ni4 0.0029 0.5014 0.0620 1
```

=====

For each record above, in turn, the calculated calculated volume values are 14.09; 21.12; 15.38 Å³/atom.
For each record above, in turn, the calculated electronic total energy values are -10.1773; -5.2421; -5.3789 eV per atom.